Run w
Mg5Ru3 (PBE, relaxed); symmetry = No. 69; D(E_F) = 16.63 states/eV/cell; mass density = 5.2 g/cm³
1.0
7.7746 -0.0065 0.0011
-6.1612 4.7417 0.0011
-0.8066 -2.3673 7.3503
Ru Mg
6 10
Direct
0.1694 0.3317 0.5006
0.2502 0.2503 0.0001
0.3311 0.8311 0.1624
0.6697 0.1697 0.8387
0.7503 0.7502 0.0001
0.8317 0.6694 0.5006
0.0780 0.7752 0.8526
0.2261 0.0779 0.3031
0.2505 0.7505 0.5007
0.2752 0.5780 0.8526
0.4231 0.2745 0.6976
0.5779 0.7261 0.3031
0.7256 0.4230 0.1485
0.7502 0.2502 0.5001
0.7745 0.9231 0.6976
0.9230 0.2256 0.1485

Run x
Mg5Ru3 (PBE, relaxed); symmetry = No. 65; D(E_F) = 5.59 states/eV/cell; mass density = 5.4 g/cm³
1.0
1.0540 5.3618 1.1890
-3.3180 0.8713 -4.4165
-3.3659 0.0967 2.5478
Mg Ru
5 3
Direct
0.0000 0.0000 0.0000
0.0000 0.5000 0.0000
0.5000 0.0000 0.0000
0.2786 0.2786 0.5000
0.7214 0.7214 0.5000
0.5000 0.5000 0.0000
0.7690 0.2310 0.5000
0.2310 0.7690 0.5000

Run y
Mg5Ru3 (PBE, relaxed); symmetry = No. 193; D(E_F) = 16.33 states/eV/cell; mass density = 5.1 g/cm³
1.0
-5.2301 -0.0953 -5.8161
7.1795 -2.8902 -1.1440
-1.6381 -4.6827 1.5498
Ru Mg
6 10
Direct
0.0000 0.4052 0.7500
0.0001 0.5948 0.2500
0.4052 0.9999 0.7500
0.4054 0.4054 0.2500
0.5948 0.0001 0.2500
0.5946 0.5946 0.7500
0.0000 0.2470 0.2500
0.9999 0.7530 0.7500
0.2469 0.0001 0.2500
0.2468 0.2468 0.7500
0.3333 0.6666 0.0000
0.3333 0.6666 0.5000
0.6667 0.3334 0.0000
0.6667 0.3334 0.5000
0.7531 0.9999 0.7500
0.7532 0.7533 0.2500

Stability summary: most stable run x, least stable run w.

Run w
Mg3Ru5 (PBE, relaxed); symmetry = No. 12; D(E_F) = 12.35 states/eV/cell; mass density = 7.7 g/cm³
1.0
-6.2949 -0.5445 3.8468
7.3344 -0.2129 0.9386
-0.4743 7.4885 -1.3691
Ru Mg
10 6
Direct
0.0315 0.7197 0.7977
0.2515 0.0538 0.3148
0.2670 0.7670 0.5314
0.2197 0.5315 0.7977
0.4470 0.2493 0.6860
0.5538 0.7515 0.3148
0.7812 0.4694 0.2031
0.7338 0.2338 0.4694
0.7493 0.9470 0.6860
0.9694 0.2812 0.2031
0.1893 0.3115 0.5004
0.2658 0.2351 0.0004
0.3167 0.8167 0.1145
0.6841 0.1841 0.8863
0.7351 0.7658 0.0004
0.8115 0.6893 0.5004

Run x
Mg3Ru5 (PBE, relaxed); symmetry = No. 193; D(E_F) = 20.72 states/eV/cell; mass density = 7.7 g/cm³
1.0
-2.4612 5.4893 4.8196
-3.4361 -0.9546 -6.8345
-3.0968 -3.1406 1.9956
Ru Mg
10 6
Direct
0.0001 0.1987 0.2500
0.0000 0.8013 0.7500
0.1987 0.0001 0.2500
0.1987 0.1986 0.7500
0.3334 0.6667 0.0000
0.3334 0.6667 0.5000
0.6666 0.3333 0.0000
0.6666 0.3333 0.5000
0.8013 0.9999 0.7500
0.8014 0.8014 0.2500
0.0000 0.3964 0.7500
0.0000 0.6036 0.2500
0.3964 0.9999 0.7500
0.3965 0.3965 0.2500
0.6036 0.0000 0.2500
0.6035 0.6035 0.7500

Run y
Mg3Ru5 (PBE, relaxed); symmetry = No. 65; D(E_F) = 10.96 states/eV/cell; mass density = 8.1 g/cm³
1.0
3.1722 -4.3573 0.0000
3.1722 4.3573 0.0000
0.0000 0.0000 4.2981
Mg Ru
3 5
Direct
0.5000 0.5000 0.0000
0.7434 0.2566 0.5000
0.2566 0.7434 0.5000
0.0000 0.0000 0.0000
0.0000 0.5000 0.0000
0.5000 0.0000 0.0000
0.2357 0.2357 0.5000
0.7643 0.7643 0.5000

Stability summary: most stable run y, least stable run x.

Run w
Mg4Ru (PBE, relaxed); symmetry = No. 229; D(E_F) = 2.26 states/eV/cell; mass density = 2.8 g/cm³
1.0
-3.0873 3.0873 3.0873
3.0873 -3.0873 3.0873
3.0873 3.0873 -3.0873
Mg Ru
4 1
Direct
0.5000 0.0000 0.0000
0.5000 0.5000 0.5000
0.0000 0.5000 0.0000
0.0000 0.0000 0.5000
0.0000 0.0000 0.0000

Run x
Mg4Ru (PBE, relaxed); symmetry = No. 139; D(E_F) = 3.74 states/eV/cell; mass density = 3.2 g/cm³
1.0
-1.8386 1.8386 7.6081
1.8386 -1.8386 7.6081
1.8386 1.8386 -7.6081
Mg Ru
4 1
Direct
0.7500 0.2500 0.5000
0.4146 0.4146 0.0000
0.5854 0.5854 0.0000
0.2500 0.7500 0.5000
0.0000 0.0000 0.0000

Stability summary: most stable run w, least stable run x.

Run w
Mg4Ru (PBE, relaxed); symmetry = No. 87; D(E_F) = 2.52 states/eV/cell; mass density = 3.6 g/cm³
1.0
-4.4269 4.7992 1.1050
-4.7772 -4.5457 0.6040
-4.2229 0.0020 2.9149
Mg Ru
4 1
Direct
0.7852 0.6093 0.0000
0.2148 0.3907 0.0000
0.6093 0.2148 0.0000
0.3907 0.7852 0.0000
0.0000 0.0000 0.0000

Run x
Mg4Ru (PBE, relaxed); symmetry = No. 221; D(E_F) = 2.88 states/eV/cell; mass density = 2.7 g/cm³
1.0
4.9567 0.0000 0.0000
0.0000 4.9567 0.0000
0.0000 0.0000 4.9567
Ru Mg
1 4
Direct
0.5000 0.5000 0.5000
0.0000 0.0000 0.0000
0.5000 0.0000 0.5000
0.0000 0.5000 0.5000
0.5000 0.5000 0.0000

Stability summary: most stable run w, least stable run x.

Run w
Mg3Ru4 (PBE, relaxed); symmetry = No. 191; D(E_F) = 6.94 states/eV/cell; mass density = 7.4 g/cm³
1.0
-0.2468 5.0306 0.6574
0.1817 -1.9425 -4.6897
-4.7795 -0.2223 -0.0931
Mg Ru
3 4
Direct
0.0000 0.5000 0.0000
0.5000 0.5000 0.0000
0.5000 0.0000 0.0000
0.0000 0.0000 0.2597
0.0000 0.0000 0.7403
0.6667 0.3333 0.5000
0.3333 0.6667 0.5000

Run x
Mg3Ru4 (PBE, relaxed); symmetry = No. 139; D(E_F) = 5.05 states/eV/cell; mass density = 7.1 g/cm³
1.0
-1.6326 -7.7986 10.9600
-0.4416 -10.6865 8.3192
2.9874 9.5689 -9.1169
Ru Mg
4 3
Direct
0.1288 0.1288 0.0000
0.4306 0.4306 0.0000
0.5694 0.5694 0.0000
0.8712 0.8712 0.0000
0.0000 0.0000 0.0000
0.2995 0.2995 0.0000
0.7005 0.7005 0.0000

Stability summary: most stable run x, least stable run w.

Run w
MgSbRu2 (PBE, relaxed); symmetry = No. 10; D(E_F) = 2.64 states/eV/cell; mass density = 8.5 g/cm³
1.0
-0.2461 0.0303 -4.0207
-2.4220 -1.8301 0.1345
-4.7379 3.3998 0.3156
Mg Ru Sb
1 2 1
Direct
0.5000 0.7500 0.7500
0.0000 0.1137 0.0052
0.0000 0.3863 0.4948
0.5000 0.2500 0.2500

Run x
MgSbRu2 (PBE, relaxed); symmetry = No. 44; D(E_F) = 4.56 states/eV/cell; mass density = 8.8 g/cm³
1.0
-3.5410 -1.9040 3.6446
1.6301 -1.1669 5.0426
-0.3523 3.8421 -3.8158
Mg Ru Sb
1 2 1
Direct
0.2455 0.7455 0.5000
0.9940 0.9940 0.0000
0.7451 0.2451 0.5000
0.5154 0.5154 0.0000

Run y
MgSbRu2 (PBE, relaxed); symmetry = No. 225; D(E_F) = 1.90 states/eV/cell; mass density = 9.2 g/cm³
1.0
0.0000 3.1513 3.1513
3.1513 0.0000 3.1513
3.1513 3.1513 0.0000
Sb Mg Ru
1 1 2
Direct
0.5000 0.5000 0.5000
0.0000 0.0000 0.0000
0.2500 0.2500 0.2500
0.7500 0.7500 0.7500

Run z
MgSbRu2 (PBE, relaxed); symmetry = No. 216; D(E_F) = 5.98 states/eV/cell; mass density = 8.7 g/cm³
1.0
4.5460 0.0000 0.0000
2.2730 3.9370 0.0000
2.2730 1.3123 3.7118
Mg Ru Sb
1 2 1
Direct
0.5000 0.5000 0.5000
0.0000 0.0000 0.0000
0.2500 0.2500 0.2500
0.7500 0.7500 0.7500

Stability summary: most stable run y, least stable run z.

Run w
MgSbRu2 (PBE, relaxed); symmetry = No. 122; D(E_F) = 9.79 states/eV/cell; mass density = 7.8 g/cm³
1.0
-2.9033 -3.9698 5.1724
-5.1314 -2.1019 -4.4936
-2.3737 -5.3023 -0.4775
Sb Mg Ru
2 2 4
Direct
0.0000 0.0000 0.0000
0.7500 0.2500 0.5000
0.5000 0.5000 0.0000
0.2500 0.7500 0.5000
0.6461 0.1250 0.2500
0.1039 0.6250 0.2500
0.3750 0.3539 0.7500
0.8750 0.8961 0.7500

Run x
MgSbRu2 (PBE, relaxed); symmetry = No. 12; D(E_F) = 3.45 states/eV/cell; mass density = 8.7 g/cm³
1.0
4.5481 -0.0001 -0.0083
3.5144 2.8869 -0.0083
0.9292 0.3327 5.0674
Mg Ru Sb
1 2 1
Direct
0.2500 0.2500 0.2500
0.0059 0.0059 0.9925
0.4941 0.4941 0.5075
0.7500 0.7500 0.7500

Stability summary: most stable run x, least stable run w.

Run w
MgSbRu2 (PBE, relaxed); symmetry = No. 119; D(E_F) = 4.29 states/eV/cell; mass density = 8.9 g/cm³
1.0
-3.0705 -2.0229 -3.5562
-3.6904 -3.0485 1.8040
1.7016 4.6980 1.0957
Mg Ru Sb
1 2 1
Direct
0.7500 0.2500 0.5000
0.0000 0.0000 0.0000
0.2500 0.7500 0.5000
0.5000 0.5000 0.0000

Run x
MgSbRu2 (PBE, relaxed); symmetry = No. 25; D(E_F) = 3.94 states/eV/cell; mass density = 8.8 g/cm³
1.0
4.6818 0.0000 0.0000
0.0000 3.0750 -0.3200
0.0000 0.4723 4.5330
Mg Ru Sb
1 2 1
Direct
0.5000 0.8749 0.7266
0.0000 0.8750 0.0265
0.5000 0.3750 0.2220
0.0000 0.3751 0.5249

Run y
MgSbRu2 (PBE, relaxed); symmetry = No. 123; D(E_F) = 2.85 states/eV/cell; mass density = 9.2 g/cm³
1.0
3.2024 0.0000 0.0000
0.0000 4.4421 0.0000
0.0000 0.0000 4.4421
Sb Mg Ru
1 1 2
Direct
0.5000 0.5000 0.0000
0.5000 0.0000 0.5000
0.0000 0.0000 0.0000
0.0000 0.5000 0.5000

Run z
MgSbRu2 (PBE, relaxed); symmetry = No. 8; D(E_F) = 2.71 states/eV/cell; mass density = 8.9 g/cm³
1.0
-3.5029 -3.0721 -2.0139
-0.7617 -4.4641 -2.2926
-1.2529 -3.1090 3.2037
Mg Ru Sb
1 2 1
Direct
0.2605 0.2605 0.1845
0.0101 0.0101 0.0651
0.7429 0.7429 0.6851
0.4865 0.4865 0.5653

Stability summary: most stable run y, least stable run x.

Run w
MgSbRu2 (PBE, relaxed); symmetry = No. 99; D(E_F) = 4.36 states/eV/cell; mass density = 7.9 g/cm³
1.0
-1.7192 1.7998 -1.6850
-1.0227 -2.3899 -1.5089
-6.0206 -0.7775 5.3123
Mg Ru Sb
1 2 1
Direct
0.5000 0.5000 0.8033
0.0000 0.0000 0.0249
0.5000 0.5000 0.2162
0.0000 0.0000 0.4556

Run x
MgSbRu2 (PBE, relaxed); symmetry = No. 166; D(E_F) = 5.60 states/eV/cell; mass density = 8.3 g/cm³
1.0
-0.7377 6.7906 4.7805
0.9880 4.9421 6.6416
2.3779 6.6622 4.4127
Mg Ru Sb
1 2 1
Direct
0.7500 0.7500 0.7500
0.9955 0.9955 0.9955
0.5045 0.5045 0.5045
0.2500 0.2500 0.2500

Stability summary: most stable run w, least stable run x.

Run w
MgSb3Ru (PBE, relaxed); symmetry = No. 221; D(E_F) = 12.75 states/eV/cell; mass density = 5.7 g/cm³
1.0
5.2308 0.0000 0.0000
0.0000 5.2308 0.0000
0.0000 0.0000 5.2308
Sb Mg Ru
3 1 1
Direct
0.0000 0.5000 0.0000
0.0000 0.0000 0.5000
0.5000 0.0000 0.0000
0.0000 0.0000 0.0000
0.5000 0.5000 0.5000

Run x
MgSb3Ru (PBE, relaxed); symmetry = No. 221; D(E_F) = 5.04 states/eV/cell; mass density = 5.9 g/cm³
1.0
-0.0249 3.9076 3.3923
-0.9062 -3.3432 3.8444
5.0947 -0.5756 0.7004
Sb Mg Ru
3 1 1
Direct
0.0000 0.5000 0.0000
0.0000 0.0000 0.5000
0.5000 0.0000 0.0000
0.5000 0.5000 0.5000
0.0000 0.0000 0.0000

Stability summary: most stable run x, least stable run w.